A plane-wave DFT calculation with SCAN was carried out for InMo6Se4S4 at its PBEsol-relaxed geometry.

a b c (Å): 6.576 6.589 6.661
angles (deg): 94.93 90.18 91.70
Atoms (fractional coordinates):
In1 0.000 0.000 0.000
Mo1 0.195 0.387 0.623
Mo2 0.378 0.514 0.299
Mo3 0.409 0.744 0.657
Mo4 0.518 0.196 0.478
Mo5 0.543 0.421 0.840
Mo6 0.740 0.555 0.518
Se1 0.212 0.607 0.958
Se2 0.598 0.834 0.328
Se3 0.715 0.333 0.185
Se4 0.838 0.222 0.690
S1 0.097 0.688 0.463
S2 0.201 0.191 0.303
S3 0.340 0.108 0.791
S4 0.719 0.741 0.842

Computed properties:
- Uncorrected formation energy: -0.6345 eV/atom

---

A plane-wave DFT calculation with SCAN was carried out for LiTa2Cr at its PBEsol-relaxed geometry.

a b c (Å): 2.770 2.770 9.125
angles (deg): 90.00 90.00 112.71
Atoms (fractional coordinates):
Li1 0.000 0.000 0.000
Ta1 0.500 0.500 0.280
Ta2 0.500 0.500 0.720
Cr1 0.000 0.000 0.500

Computed properties:
- E_form: 0.274 eV per atom

---

A plane-wave DFT calculation with SCAN was carried out for K2Zr2NiH12O6F12 at its PBEsol-relaxed geometry.

a b c (Å): 6.485 9.854 12.799
angles (deg): 90.00 112.81 90.00
Atoms (fractional coordinates):
K1 0.125 0.225 0.083
K2 0.125 0.275 0.583
K3 0.875 0.725 0.417
K4 0.875 0.775 0.917
Zr1 0.313 0.013 0.854
Zr2 0.313 0.487 0.354
Zr3 0.687 0.513 0.646
Zr4 0.687 0.987 0.146
Ni1 0.500 0.000 0.500
Ni2 0.500 0.500 0.000
H1 0.085 0.058 0.381
H2 0.085 0.442 0.881
H3 0.240 0.181 0.374
H4 0.240 0.319 0.874
H5 0.260 0.573 0.109
H6 0.260 0.927 0.609
H7 0.313 0.691 0.843
H8 0.313 0.809 0.343
H9 0.395 0.566 0.787
H10 0.395 0.934 0.287
H11 0.422 0.696 0.110
H12 0.422 0.804 0.610
H13 0.578 0.196 0.390
H14 0.578 0.304 0.890
H15 0.605 0.066 0.713
H16 0.605 0.434 0.213
H17 0.687 0.191 0.657
H18 0.687 0.309 0.157
H19 0.740 0.073 0.391
H20 0.740 0.427 0.891
H21 0.760 0.681 0.126
H22 0.760 0.819 0.626
H23 0.915 0.558 0.119
H24 0.915 0.942 0.619
O1 0.218 0.114 0.427
O2 0.218 0.386 0.927
O3 0.316 0.628 0.060
O4 0.316 0.872 0.560
O5 0.426 0.617 0.858
O6 0.426 0.883 0.358
O7 0.574 0.117 0.642
O8 0.574 0.383 0.142
O9 0.684 0.128 0.440
O10 0.684 0.372 0.940
O11 0.782 0.614 0.073
O12 0.782 0.886 0.573
F1 0.070 0.068 0.901
F2 0.070 0.432 0.401
F3 0.143 0.024 0.678
F4 0.143 0.476 0.178
F5 0.157 0.670 0.311
F6 0.157 0.830 0.811
F7 0.343 0.213 0.811
F8 0.343 0.287 0.311
F9 0.417 0.029 0.183
F10 0.417 0.471 0.683
F11 0.476 0.618 0.494
F12 0.476 0.882 0.994
F13 0.524 0.118 0.006
F14 0.524 0.382 0.506
F15 0.583 0.529 0.317
F16 0.583 0.971 0.817
F17 0.657 0.713 0.689
F18 0.657 0.787 0.189
F19 0.843 0.170 0.189
F20 0.843 0.330 0.689
F21 0.857 0.524 0.822
F22 0.857 0.976 0.322
F23 0.930 0.568 0.599
F24 0.930 0.932 0.099

Computed properties:
- Total DFT energy (no corrections): -8.432 eV per atom

---

A plane-wave DFT calculation with SCAN was carried out for CaTaTcIr2 at its PBEsol-relaxed geometry.

a b c (Å): 4.783 4.783 4.648
angles (deg): 90.00 90.00 90.00
Atoms (fractional coordinates):
Ca1 0.000 0.000 0.000
Ta1 0.500 0.500 0.000
Tc1 0.500 0.500 0.500
Ir1 0.000 0.500 0.500
Ir2 0.500 0.000 0.500

Computed properties:
- E_form: 0.821 eV per atom

---

A plane-wave DFT calculation with SCAN was carried out for LaGe2I at its PBEsol-relaxed geometry.

a b c (Å): 5.244 5.244 5.244
angles (deg): 60.00 60.00 60.00
Atoms (fractional coordinates):
La1 0.000 0.000 0.000
Ge1 0.250 0.250 0.250
Ge2 0.750 0.750 0.750
I1 0.500 0.500 0.500

Computed properties:
- Uncorrected formation energy: 0.1151 eV/atom

---

A plane-wave DFT calculation with SCAN was carried out for HfTcSeN2 at its PBEsol-relaxed geometry.

a b c (Å): 3.825 3.825 4.952
angles (deg): 90.00 90.00 90.00
Atoms (fractional coordinates):
Hf1 0.000 0.000 0.000
Tc1 0.500 0.500 0.500
Se1 0.500 0.500 0.000
N1 0.000 0.500 0.500
N2 0.500 0.000 0.500

Computed properties:
- Uncorrected formation energy: 0.2902 eV/atom

---

A plane-wave DFT calculation with SCAN was carried out for Ba2SrAu at its PBEsol-relaxed geometry.

a b c (Å): 7.653 7.653 7.653
angles (deg): 149.21 132.81 57.41
Atoms (fractional coordinates):
Ba1 0.000 0.000 0.000
Ba2 0.681 0.181 0.500
Sr1 0.319 0.819 0.500
Au1 0.494 0.494 0.000

Computed properties:
- E_form: -0.422 eV per atom
- Excess energy over the best structure of this formula in the dataset: 0.13 eV/f.u.

---

A plane-wave DFT calculation with SCAN was carried out for NaTiTe2N at its PBEsol-relaxed geometry.

a b c (Å): 5.645 5.645 3.695
angles (deg): 90.00 90.00 90.00
Atoms (fractional coordinates):
Na1 0.000 0.000 0.000
Ti1 0.500 0.500 0.500
Te1 0.000 0.500 0.500
Te2 0.500 0.000 0.500
N1 0.500 0.500 0.000

Computed properties:
- Uncorrected formation energy: -0.4238 eV/atom

---

Number 1: DOS at the Fermi energy 7.62 states/eV/cell, V 287.4 Å³ per cell. Number 2: DOS at the Fermi energy 3.06 states/eV/cell, V 64.6 Å³ per cell. Number 3: DOS at the Fermi energy 0.00 states/eV/cell, V 753.9 Å³ per cell. Number 4: DOS at the Fermi energy 4.88 states/eV/cell, V 106.3 Å³ per cell. Number 5: DOS at the Fermi energy 3.65 states/eV/cell, V 102.0 Å³ per cell. Number 6: DOS at the Fermi energy 2.74 states/eV/cell, V 72.4 Å³ per cell. Number 7: DOS at the Fermi energy 3.71 states/eV/cell, V 167.1 Å³ per cell. Number 8: DOS at the Fermi energy 2.05 states/eV/cell, V 117.8 Å³ per cell.